# 1
Li2TmTl | Alexandria | PBE-GGA | relaxed; E_form = -7 kJ/mol of atoms; electronic total energy = -10.949 eV per cell; energy relative to the lowest polymorph listed for this composition = 126 meV/atom; calculated volume = 90 Å³ per cell
1.0
3.691 0.000 0.000
0.000 3.691 0.000
0.000 0.000 6.585
Li Tm Tl
2 1 1
Cartesian
0.000 0.000 1.419
0.000 0.000 5.166
1.846 1.846 3.292
1.846 1.846 0.000



# 2
AlTlWN2 | Alexandria | PBE-GGA | relaxed; electronic total energy = -27.952 eV per cell; formation energy without anion corrections = 1.552 eV per atom; calculated volume = 78 Å³ per cell
1.0
3.872 0.000 0.000
0.000 3.872 0.000
0.000 0.000 5.227
Al Tl W N
1 1 1 2
Cartesian
0.000 0.000 0.000
1.936 1.936 2.613
0.000 0.000 2.613
0.000 1.936 0.000
1.936 0.000 0.000



# 3
AlCoCl2 | Alexandria | PBE-GGA | relaxed; electronic total energy = -15.329 eV per cell; energy relative to the lowest polymorph listed for this composition = 363 meV/atom; formation energy without anion corrections = -0.197 eV per atom; calculated volume = 81 Å³ per cell
1.0
1.674 0.967 8.312
-1.674 0.967 8.312
0.000 -1.933 8.312
Al Co Cl
1 1 2
Cartesian
0.000 0.000 0.000
0.000 0.000 12.469
0.000 0.000 2.708
0.000 0.000 22.230



What did the second record say?
AlTlWN2 | Alexandria | PBE-GGA | relaxed; electronic total energy = -27.952 eV per cell; formation energy without anion corrections = 1.552 eV per atom; calculated volume = 78 Å³ per cell
1.0
3.872 0.000 0.000
0.000 3.872 0.000
0.000 0.000 5.227
Al Tl W N
1 1 1 2
Cartesian
0.000 0.000 0.000
1.936 1.936 2.613
0.000 0.000 2.613
0.000 1.936 0.000
1.936 0.000 0.000



Q: Among the records above, which one has the highest calculated volume?
A: Li2TmTl



Q: Which of these has the highest calculated volume?
A: Li2TmTl